Record 1
# PBE-GGA Cs5Au2IBr, relaxed
# - E_form (uncorrected): -822 meV/atom
# - Uncorrected energy: -2.3828 eV per atom
# - Volume: 60.96 A^3/atom
# - Space-group type: No. 36
# - Crystal system: orthorhombic
data_Cs5Au2IBr
_chemical_formula_sum 'Cs10 Au4 I2 Br2'
_symmetry_space_group_name_H-M 'P 1'
_symmetry_Int_Tables_number 1
_cell_length_a 5.2523
_cell_length_b 11.0428
_cell_length_c 19.4762
_cell_angle_alpha 90.00
_cell_angle_beta 90.00
_cell_angle_gamma 103.76
loop_
_symmetry_equiv_pos_as_xyz
'x,y,z'
loop_
_atom_site_label
_atom_site_fract_x
_atom_site_fract_y
_atom_site_fract_z
_atom_site_occupancy
Cs1 0.8899 0.7798 0.5690 1
I1 0.4152 0.8304 0.4288 1
Au1 0.9618 0.9235 0.1580 1
Cs2 0.4353 0.8706 0.0339 1
I2 0.5848 0.1696 0.9288 1
Cs3 0.5647 0.1294 0.5339 1
Cs4 0.7600 0.5200 0.9070 1
Cs5 0.7835 0.5670 0.1773 1
Cs6 0.1101 0.2202 0.0690 1
Br1 0.2727 0.5454 0.0341 1
Au2 0.8304 0.6608 0.7428 1
Cs7 0.4668 0.9336 0.7730 1
Cs8 0.2165 0.4330 0.6773 1
Cs9 0.5332 0.0664 0.2730 1
Au3 0.1696 0.3392 0.2428 1
Au4 0.0382 0.0765 0.6580 1
Br2 0.7273 0.4546 0.5341 1
Cs10 0.2400 0.4800 0.4070 1

Record 2
# PBE-GGA Cs4AuI2Br, relaxed
# - E_form (uncorrected): -1299 meV/atom
# - Uncorrected energy: -2.7321 eV per atom
# - Volume: 55.41 A^3/atom
# - Space-group type: No. 10
# - Crystal system: monoclinic
data_Cs4AuI2Br
_chemical_formula_sum 'Cs4 Au1 I2 Br1'
_symmetry_space_group_name_H-M 'P 1'
_symmetry_Int_Tables_number 1
_cell_length_a 5.3784
_cell_length_b 9.3531
_cell_length_c 9.3376
_cell_angle_alpha 70.67
_cell_angle_beta 90.00
_cell_angle_gamma 90.00
loop_
_symmetry_equiv_pos_as_xyz
'x,y,z'
loop_
_atom_site_label
_atom_site_fract_x
_atom_site_fract_y
_atom_site_fract_z
_atom_site_occupancy
Cs1 0.5000 0.7352 0.2560 1
Br1 0.0000 0.5000 0.5000 1
Cs2 0.0000 0.7362 0.7528 1
Cs3 0.5000 0.2648 0.7440 1
Cs4 0.0000 0.2638 0.2472 1
I1 0.0000 0.0000 0.0000 1
Au1 0.5000 0.5000 0.0000 1
I2 0.5000 0.0000 0.5000 1

Record 3
# PBE-GGA CsAuI2Br6, relaxed
# - E_form (uncorrected): -449 meV/atom
# - Uncorrected energy: -2.1762 eV per atom
# - Volume: 46.46 A^3/atom
# - Space-group type: No. 1
# - Crystal system: triclinic
data_CsAuI2Br6
_chemical_formula_sum 'Cs1 Au1 I2 Br6'
_symmetry_space_group_name_H-M 'P 1'
_symmetry_Int_Tables_number 1
_cell_length_a 6.5234
_cell_length_b 12.6538
_cell_length_c 8.1770
_cell_angle_alpha 88.62
_cell_angle_beta 119.92
_cell_angle_gamma 122.57
loop_
_symmetry_equiv_pos_as_xyz
'x,y,z'
loop_
_atom_site_label
_atom_site_fract_x
_atom_site_fract_y
_atom_site_fract_z
_atom_site_occupancy
Br1 0.9305 0.0537 0.6721 1
Br2 0.4468 0.8513 0.7911 1
Br3 0.5451 0.1442 0.1697 1
I1 0.3846 0.3222 0.7495 1
Au1 0.9959 0.9978 0.9805 1
I2 0.6088 0.6732 0.2112 1
Cs1 0.9980 0.4983 0.4794 1
Br4 0.2278 0.4264 0.1722 1
Br5 0.7669 0.5686 0.7880 1
Br6 0.0613 0.9420 0.2888 1